MnSn2Ru2 after structural relaxation. Source: Alexandria, functional PBE.

Structure (CIF):
```
data_MnSn2Ru2
_chemical_formula_sum 'Mn2 Sn4 Ru4'
_space_group_name_H-M_alt 'P 1'
_space_group_IT_number 1
_cell_length_a 7.4155
_cell_length_b 7.4155
_cell_length_c 3.2245
_cell_angle_alpha 90.00
_cell_angle_beta 90.00
_cell_angle_gamma 90.00
loop_
_space_group_symop_operation_xyz
'x,y,z'
loop_
_atom_site_label
_atom_site_type_symbol
_atom_site_fract_x
_atom_site_fract_y
_atom_site_fract_z
Ru1 Ru 0.3586 0.8586 0.0000
Ru2 Ru 0.8586 0.6414 0.0000
Ru3 Ru 0.6414 0.1414 0.0000
Ru4 Ru 0.1414 0.3586 0.0000
Mn1 Mn 0.0000 0.0000 0.0000
Mn2 Mn 0.5000 0.5000 0.0000
Sn1 Sn 0.1579 0.6579 0.5000
Sn2 Sn 0.6579 0.8421 0.5000
Sn3 Sn 0.8421 0.3421 0.5000
Sn4 Sn 0.3421 0.1579 0.5000
```

As for the space group: P4/mbm, No. 127. The calculated volume is 177 Å³/cell. Its energy relative to the elements is 0.05 eV per atom. As for the crystal system: tetragonal.

TaTlCr2 after structural relaxation. Source: Alexandria, functional PBE.

Structure (CIF):
```
data_TaTlCr2
_chemical_formula_sum 'Ta1 Tl1 Cr2'
_space_group_name_H-M_alt 'P 1'
_space_group_IT_number 1
_cell_length_a 3.3281
_cell_length_b 3.3278
_cell_length_c 6.0142
_cell_angle_alpha 90.00
_cell_angle_beta 90.00
_cell_angle_gamma 90.00
loop_
_space_group_symop_operation_xyz
'x,y,z'
loop_
_atom_site_label
_atom_site_type_symbol
_atom_site_fract_x
_atom_site_fract_y
_atom_site_fract_z
Cr1 Cr 0.0000 0.0000 0.0546
Cr2 Cr 0.0000 0.0000 0.4454
Ta1 Ta 0.5000 0.5000 0.2500
Tl1 Tl 0.5000 0.5000 0.7500
```

The polymorph energy (0 for the lowest one) is 46.1 meV per atom. As for the space group: P4/mmm, No. 123. The calculated volume is 67 Å³/cell. Its energy relative to the elements is 0.43 eV per atom. As for the crystal system: tetragonal.

YHoNi10 after structural relaxation. Source: Alexandria, functional PBE.

Structure (CIF):
```
data_YHoNi10
_chemical_formula_sum 'Y1 Ho1 Ni10'
_space_group_name_H-M_alt 'P 1'
_space_group_IT_number 1
_cell_length_a 3.9553
_cell_length_b 4.8806
_cell_length_c 8.4425
_cell_angle_alpha 90.00
_cell_angle_beta 90.00
_cell_angle_gamma 90.00
loop_
_space_group_symop_operation_xyz
'x,y,z'
loop_
_atom_site_label
_atom_site_type_symbol
_atom_site_fract_x
_atom_site_fract_y
_atom_site_fract_z
Y1 Y 0.0000 0.0000 0.0000
Ho1 Ho 0.0000 0.5000 0.5000
Ni1 Ni 0.0000 0.0000 0.3347
Ni2 Ni 0.0000 0.5000 0.8320
Ni3 Ni 0.0000 0.5000 0.1680
Ni4 Ni 0.0000 0.0000 0.6653
Ni5 Ni 0.5000 0.0000 0.5000
Ni6 Ni 0.5000 0.5000 0.0000
Ni7 Ni 0.5000 0.2506 0.2510
Ni8 Ni 0.5000 0.7494 0.7490
Ni9 Ni 0.5000 0.7494 0.2510
Ni10 Ni 0.5000 0.2506 0.7490
```

As for the space group: Pmmm, No. 47. The calculated volume is 163 Å³/cell. Its energy relative to the elements is -0.33 eV per atom. As for the crystal system: orthorhombic.

CdHgRu2 after structural relaxation. Source: Alexandria, functional PBE.

Structure (CIF):
```
data_CdHgRu2
_chemical_formula_sum 'Cd1 Hg1 Ru2'
_space_group_name_H-M_alt 'P 1'
_space_group_IT_number 1
_cell_length_a 9.5000
_cell_length_b 9.5000
_cell_length_c 9.5000
_cell_angle_alpha 17.59
_cell_angle_beta 17.59
_cell_angle_gamma 17.59
loop_
_space_group_symop_operation_xyz
'x,y,z'
loop_
_atom_site_label
_atom_site_type_symbol
_atom_site_fract_x
_atom_site_fract_y
_atom_site_fract_z
Cd1 Cd 0.2500 0.2500 0.2500
Hg1 Hg 0.7500 0.7500 0.7500
Ru1 Ru 0.9997 0.9997 0.9997
Ru2 Ru 0.5003 0.5003 0.5003
```

The polymorph energy (0 for the lowest one) is 344.1 meV per atom. As for the space group: R-3m, No. 166. The calculated volume is 68 Å³/cell. Its energy relative to the elements is 0.54 eV per atom. As for the crystal system: trigonal.

Nd8Ir3CBr4 after structural relaxation. Source: Alexandria, functional PBE.

Structure (CIF):
```
data_Nd8Ir3CBr4
_chemical_formula_sum 'Nd8 Ir3 C1 Br4'
_space_group_name_H-M_alt 'P 1'
_space_group_IT_number 1
_cell_length_a 8.2131
_cell_length_b 9.0657
_cell_length_c 8.2132
_cell_angle_alpha 116.94
_cell_angle_beta 120.00
_cell_angle_gamma 90.00
loop_
_space_group_symop_operation_xyz
'x,y,z'
loop_
_atom_site_label
_atom_site_type_symbol
_atom_site_fract_x
_atom_site_fract_y
_atom_site_fract_z
Nd1 Nd 0.2203 0.6860 0.9658
Nd2 Nd 0.2203 0.6860 0.4406
Nd3 Nd 0.2664 0.2993 0.5329
Nd4 Nd 0.7455 0.6860 0.9658
Nd5 Nd 0.2545 0.3140 0.0342
Nd6 Nd 0.7336 0.7007 0.4671
Nd7 Nd 0.7797 0.3140 0.5594
Nd8 Nd 0.7797 0.3140 0.0342
Ir1 Ir 0.5000 0.5000 0.0000
Ir2 Ir 0.5000 0.5000 0.5000
Ir3 Ir 0.0000 0.5000 0.5000
C1 C 0.0000 0.5000 0.0000
Br1 Br 0.5000 0.0000 0.0000
Br2 Br 0.5000 0.0000 0.5000
Br3 Br 0.0000 0.0000 0.0000
Br4 Br 0.0000 0.0000 0.5000
```

For the uncorrected energy, the calculation gives -6.024 eV/atom. As for the space group: R-3m, No. 166. The calculated volume is 451 Å³/cell. As for the crystal system: trigonal.

ReNi after structural relaxation. Source: Alexandria, functional PBE.

Structure (CIF):
```
data_ReNi
_chemical_formula_sum 'Re4 Ni4'
_space_group_name_H-M_alt 'P 1'
_space_group_IT_number 1
_cell_length_a 4.8431
_cell_length_b 4.8431
_cell_length_c 4.8431
_cell_angle_alpha 90.00
_cell_angle_beta 90.00
_cell_angle_gamma 90.00
loop_
_space_group_symop_operation_xyz
'x,y,z'
loop_
_atom_site_label
_atom_site_type_symbol
_atom_site_fract_x
_atom_site_fract_y
_atom_site_fract_z
Re1 Re 0.8194 0.8194 0.0000
Re2 Re 0.3194 0.6806 0.5000
Re3 Re 0.6806 0.3194 0.5000
Re4 Re 0.1806 0.1806 0.0000
Ni1 Ni 0.6759 0.3241 0.0000
Ni2 Ni 0.1759 0.1759 0.5000
Ni3 Ni 0.8241 0.8241 0.5000
Ni4 Ni 0.3241 0.6759 0.0000
```

As for the space group: P4_2/mnm, No. 136. The calculated volume is 114 Å³/cell. Its energy relative to the elements is 0.86 eV per atom. As for the crystal system: tetragonal.